Compound: Li4MnSn3P4O16
Source: Alexandria
Functional: PBEsol
Structure: optimized geometry

Lattice parameters (Å, degrees): 4.7737 6.7579 10.7417 90.00 91.26 90.00
Last column: nearest neighbours and their distance in Å.
Space group Pm (No. 6)
Inequivalent atoms, fractional coordinates:
Li 0.0000 0.2238 0.0000  5 O 2.00-2.24
Li 0.4535 0.2589 0.4865  6 O 2.13-2.26
Mn 0.9063 0.5000 0.2730  4 O 2.07-2.25
Sn 0.0212 0.0000 0.7031  3 O 2.21-2.39
Sn 0.4081 0.0000 0.2128  5 O 2.35-2.45
Sn 0.5011 0.5000 0.7795  5 O 2.29-2.54
P 0.0381 0.5000 0.5599  4 O 1.53-1.57
P 0.3359 0.5000 0.0943  4 O 1.53-1.57
P 0.5817 0.0000 0.9255  4 O 1.53-1.56
P 0.8572 0.0000 0.4155  4 O 1.53-1.58
O 0.1640 0.3186 0.6329  1 P 1.57
O 0.1695 0.5000 0.4284  1 P 1.56
O 0.1764 0.0000 0.4332  1 P 1.53
O 0.1940 0.3185 0.1562  1 P 1.56
O 0.2354 0.5000 0.9544  1 P 1.57
O 0.2650 0.0000 0.9451  1 P 1.53
O 0.6543 0.5000 0.1120  1 P 1.53
O 0.6900 0.1839 0.8527  1 P 1.56
O 0.7126 0.0000 0.5465  1 P 1.58
O 0.7178 0.5000 0.5517  1 P 1.53
O 0.7398 0.0000 0.0546  1 P 1.56
O 0.7407 0.1862 0.3444  1 P 1.57

## Properties
The calculation puts the volume at 12.37 Å³ per atom. As for the total magnetic moment: 5.0 Bohr magnetons per cell. The value obtained for the energy relative to the elements, uncorrected is -2019 meV/atom. The value obtained for the energy is -194.09 eV per cell.

***

Compound: Li2MnSnP2O8
Source: Alexandria
Functional: PBEsol
Structure: optimized geometry

Lattice parameters (Å, degrees): 4.8016 6.3222 11.0019 90.00 90.35 90.00
Last column: nearest neighbours and their distance in Å.
Space group P2_1/m (No. 11)
Inequivalent atoms, fractional coordinates:
Li 0.0000 0.0000 0.0000  4 O 2.01-2.15
Li 0.5000 0.0000 0.5000  6 O 2.11-2.20
Mn 0.0657 0.2500 0.7087  6 O 2.14-2.24
Sn 0.4751 0.2500 0.2208  6 O 2.38-2.53
P 0.0846 0.7500 0.5755  4 O 1.54-1.57
P 0.3527 0.7500 0.1093  4 O 1.53-1.57
O 0.2071 0.7500 0.4454  1 P 1.55
O 0.2077 0.5551 0.1704  1 P 1.57
O 0.2128 0.5517 0.6416  1 P 1.57
O 0.2357 0.2500 0.4210  1 P 1.54
O 0.2514 0.7500 0.9752  1 P 1.55
O 0.3307 0.2500 0.8741  1 P 1.53

## Properties
The calculation puts the volume at 11.93 Å³ per atom. As for the total magnetic moment: 10.0 Bohr magnetons per cell. The value obtained for the energy relative to the elements, uncorrected is -2025 meV/atom. The value obtained for the energy is -199.75 eV per cell.

***

Compound: Li8TiMn3P6O24
Source: Alexandria
Functional: PBEsol
Structure: optimized geometry

Lattice parameters (Å, degrees): 8.8859 8.8859 20.3815 90.00 90.00 120.00
Last column: nearest neighbours and their distance in Å.
Space group R3 (No. 146, hexagonal axes)
Inequivalent atoms, fractional coordinates:
Li 0.0000 0.0000 0.0000  6 O 2.14-2.23
Li 0.0000 0.0000 0.4910  3 O 2.13
Li 0.0247 0.6101 0.7375  3 O 2.01-2.10
Li 0.0905 0.3832 0.5804  4 O 1.90-2.10
Ti 0.0000 0.0000 0.6528  6 O 1.91-2.00
Mn 0.0000 0.0000 0.1558  6 O 2.08-2.30
Mn 0.0000 0.0000 0.3536  6 O 2.04-2.21
Mn 0.0000 0.0000 0.8488  6 O 2.03-2.24
P 0.0032 0.6936 0.2581  4 O 1.53-1.58
P 0.0037 0.3032 0.7575  4 O 1.53-1.56
O 0.0121 0.7893 0.3215  1 P 1.53
O 0.0268 0.8401 0.9278  1 P 1.56
O 0.0318 0.8036 0.1968  1 P 1.53
O 0.0326 0.8432 0.5913  1 P 1.58
O 0.1135 0.4451 0.4903  1 P 1.53
O 0.1602 0.4691 0.0920  1 P 1.54
O 0.1670 0.4733 0.3699  1 P 1.56
O 0.1835 0.4652 0.7422  1 P 1.56

## Properties
The calculation puts the volume at 11.06 Å³ per atom. As for the total magnetic moment: 45.4 Bohr magnetons per cell. The value obtained for the energy relative to the elements, uncorrected is -2218 meV/atom. The value obtained for the energy is -921.68 eV per cell.

***

Compound: Li4Mn3VP4O16
Source: Alexandria
Functional: PBEsol
Structure: optimized geometry

Lattice parameters (Å, degrees): 4.7019 6.0497 10.3417 90.00 90.10 90.00
Last column: nearest neighbours and their distance in Å.
Space group Pm (No. 6)
Inequivalent atoms, fractional coordinates:
Li 0.0000 0.2473 0.0000  6 O 2.09-2.17
Li 0.4989 0.2512 0.4970  6 O 2.09-2.20
Mn 0.0226 0.0000 0.7176  6 O 2.10-2.25
Mn 0.5256 0.5000 0.7785  6 O 2.10-2.27
Mn 0.9750 0.5000 0.2747  6 O 2.11-2.25
V 0.4775 0.0000 0.2215  6 O 2.10-2.17
P 0.0836 0.5000 0.5881  4 O 1.53-1.56
P 0.4151 0.5000 0.0882  4 O 1.53-1.57
P 0.5822 0.0000 0.9078  4 O 1.53-1.57
P 0.9121 0.0000 0.4018  4 O 1.53-1.57
O 0.2081 0.5000 0.4493  1 P 1.55
O 0.2178 0.2963 0.6586  1 P 1.56
O 0.2380 0.0000 0.3994  1 P 1.53
O 0.2565 0.0000 0.9029  1 P 1.53
O 0.2816 0.2959 0.1590  1 P 1.57
O 0.2868 0.5000 0.9499  1 P 1.55
O 0.7061 0.0000 0.0468  1 P 1.55
O 0.7178 0.2028 0.8366  1 P 1.57
O 0.7411 0.5000 0.0904  1 P 1.53
O 0.7575 0.5000 0.5910  1 P 1.53
O 0.7742 0.2032 0.3308  1 P 1.57
O 0.7897 0.0000 0.5407  1 P 1.55

## Properties
The calculation puts the volume at 10.51 Å³ per atom. As for the total magnetic moment: 18.0 Bohr magnetons per cell. The value obtained for the energy relative to the elements, uncorrected is -2101 meV/atom. The value obtained for the energy is -212.77 eV per cell.

***

Compound: RbLiMn3O4
Source: Alexandria
Functional: PBEsol
Structure: optimized geometry

Lattice parameters (Å, degrees): 11.6481 3.5000 8.2000 90.00 133.65 90.00
Last column: nearest neighbours and their distance in Å.
Space group Cm (No. 8)
Inequivalent atoms, fractional coordinates:
Rb 0.0000 0.0000 0.0000  8 O 2.93-3.10
Li 0.3100 0.5000 0.1867  4 O 1.97-2.20
Mn 0.1136 0.5000 0.4426  4 O 1.95-2.13
Mn 0.1926 0.0000 0.8392  4 O 2.03-2.04
Mn 0.3634 0.0000 0.5310  4 O 2.02-2.20
O 0.0950 0.5000 0.8230  3 Mn 2.02-2.04, 1 Li 2.20
O 0.2288 0.0000 0.6293  4 Mn 2.04-2.20
O 0.2572 0.5000 0.3694  1 Li 1.97, 3 Mn 2.02-2.13
O 0.3855 0.0000 0.1761  2 Mn 1.95-2.03, 2 Li 1.99

## Properties
The calculation puts the volume at 13.44 Å³ per atom. As for the total magnetic moment: 30.0 Bohr magnetons per cell. The value obtained for the energy relative to the elements, uncorrected is -1285 meV/atom. The value obtained for the energy is -129.67 eV per cell.

***

Compound: Li3Mn3SbO8
Source: Alexandria
Functional: PBEsol
Structure: optimized geometry

Lattice parameters (Å, degrees): 6.0800 6.0800 14.5893 90.00 90.00 120.00
Last column: nearest neighbours and their distance in Å.
Space group R-3m (No. 166, hexagonal axes)
Inequivalent atoms, fractional coordinates:
Li 0.0000 0.5000 0.0000  6 O 2.14-2.31
Mn 0.0000 0.5000 0.5000  6 O 1.99-2.14
Sb 0.0000 0.0000 0.5000  6 O 1.99
O 0.0000 0.0000 0.2304  3 Mn 1.99
O 0.0218 0.5109 0.2443  1 Sb 1.99, 2 Mn 2.14, 2 Li 2.14

## Properties
The calculation puts the volume at 10.38 Å³ per atom. As for the total magnetic moment: 39.0 Bohr magnetons per cell. The value obtained for the energy relative to the elements, uncorrected is -1638 meV/atom. The value obtained for the energy is -318.93 eV per cell.

***

- Among the records above, which one has the highest energy relative to the elements, uncorrected?
  RbLiMn3O4